(1)
La5PmY4, relaxed, DFT GGA-PBE; final energy = -53.3 eV for the cell shown; mass density = 5.50 g/cm³; size of the total moment = 0.00 μB per formula unit; ΔE to the lowest computed polymorph = 169 meV per atom; energy relative to the elements = 190 meV/atom
1.0
3.581 0.000 0.000
1.777 9.271 0.000
0.017 2.748 10.864
La Pm Y
5 1 4
Direct
0.000 0.000 0.000
0.333 0.339 0.967
0.339 0.320 0.595
0.661 0.680 0.405
0.667 0.661 0.033
0.000 0.000 0.500
0.175 0.646 0.716
0.473 0.054 0.240
0.527 0.946 0.760
0.825 0.354 0.284

---

(2)
LaPm3Y6, relaxed, DFT GGA-PBE; final energy = -113.1 eV for the cell shown; mass density = 5.45 g/cm³; size of the total moment = 0.00 μB per formula unit; ΔE to the lowest computed polymorph = 0 meV per atom; energy relative to the elements = 144 meV/atom
1.0
5.524 -9.502 0.000
5.524 9.502 0.000
0.000 0.000 6.425
La Pm Y
2 6 12
Direct
0.189 0.811 0.500
0.811 0.189 0.000
0.069 0.295 0.684
0.295 0.069 0.184
0.388 0.612 0.578
0.612 0.388 0.078
0.705 0.931 0.684
0.931 0.705 0.184
0.040 0.960 0.784
0.057 0.474 0.276
0.267 0.733 0.980
0.289 0.378 0.101
0.378 0.289 0.601
0.474 0.057 0.776
0.526 0.943 0.276
0.622 0.711 0.101
0.711 0.622 0.601
0.733 0.267 0.480
0.943 0.526 0.776
0.960 0.040 0.284

---

(3)
La3Pm2Y13, relaxed, DFT GGA-PBE; final energy = -103.1 eV for the cell shown; mass density = 4.75 g/cm³; size of the total moment = 0.00 μB per formula unit; energy relative to the elements = 291 meV/atom
1.0
6.584 0.000 0.000
-3.292 5.702 0.000
0.000 0.000 17.341
La Pm Y
3 2 13
Direct
0.000 0.000 0.000
0.000 0.000 0.332
0.000 0.000 0.668
0.333 0.667 0.000
0.667 0.333 0.000
0.000 0.500 0.168
0.000 0.500 0.500
0.000 0.500 0.832
0.333 0.667 0.334
0.333 0.667 0.666
0.500 0.000 0.168
0.500 0.000 0.500
0.500 0.000 0.832
0.500 0.500 0.168
0.500 0.500 0.500
0.500 0.500 0.832
0.667 0.333 0.334
0.667 0.333 0.666